Record 1
! CsAlTl2 (PBE, optimized geometry); values from VASP
! Crystal system: cubic
! Energy of formation: 0.2502 eV/atom
! Uncorrected energy: -2.08 eV per atom
! Spin magnetization: 0.0 Bohr magnetons per cell
&SYSTEM
  ibrav = 0, nat = 4, ntyp = 3
/
ATOMIC_SPECIES
Cs 132.91 Cs.upf
Tl 204.38 Tl.upf
Al 26.98 Al.upf
CELL_PARAMETERS angstrom
4.5533 -3.1205 1.6125
0.4113 -5.5144 -1.5787
3.9204 -1.5911 -3.8948
ATOMIC_POSITIONS angstrom
Cs 4.4425 -5.1130 -1.9305
Tl 2.2212 -2.5565 -0.9653
Tl 6.6637 -7.6695 -2.8958
Al 0.0000 0.0000 0.0000

=====

Record 2
! Ac3In3Ir (PBE, optimized geometry); values from VASP
! Crystal system: cubic
! Energy of formation: -0.5188 eV/atom
! Uncorrected energy: -4.72 eV per atom
! Spin magnetization: 0.0 Bohr magnetons per cell
&SYSTEM
  ibrav = 0, nat = 28, ntyp = 3
/
ATOMIC_SPECIES
Ac 227.00 Ac.upf
In 114.82 In.upf
Ir 192.22 Ir.upf
CELL_PARAMETERS angstrom
-5.0009 8.6068 -4.2559
-9.0672 -1.3118 -5.7674
-9.4986 3.2805 4.0266
ATOMIC_POSITIONS angstrom
Ac -3.1153 4.0025 -2.0140
Ac -10.4339 4.1022 1.1509
Ac -13.3876 9.1857 -1.3628
Ac -13.1328 6.4733 -7.1476
Ac -15.7894 3.3273 -2.2556
Ac -8.6681 1.2852 -0.9844
Ac -7.0035 5.3454 -0.3657
Ac -7.7773 7.2481 -3.7411
Ac -4.9564 1.8222 1.3765
Ac -10.1791 1.3897 -4.6339
Ac -6.8269 3.4655 -4.3749
Ac -4.7798 -0.0577 -2.6327
In -19.5417 8.7693 -4.9725
In -12.9261 5.4894 -1.2476
In -9.9799 4.9694 -5.7612
In -11.5011 7.1770 -3.8718
In -17.9572 6.0423 -3.6241
In -9.9166 4.4501 -2.5234
In -12.2287 2.3063 -1.6200
In -14.7292 6.6097 -3.7479
In -16.5322 7.7299 -6.2483
In -12.7894 4.0344 -4.3507
In -16.6689 9.1849 -3.1452
In -10.1956 7.2656 -0.8642
Ir -5.4463 5.6253 -2.8775
Ir -7.4794 0.6660 -3.6333
Ir -2.9458 1.3219 -0.7496
Ir -7.6951 2.9622 1.2637

=====

Record 3
! HfNb2H (PBE, optimized geometry); values from VASP
! Crystal system: monoclinic
! Uncorrected energy: -8.43 eV per atom
! Spin magnetization: 0.0 Bohr magnetons per cell
&SYSTEM
  ibrav = 0, nat = 8, ntyp = 3
/
ATOMIC_SPECIES
Nb 92.91 Nb.upf
Hf 178.49 Hf.upf
H 1.01 H.upf
CELL_PARAMETERS angstrom
2.9909 0.4393 0.0000
-0.6755 4.5978 0.0000
0.0000 0.0000 8.6342
ATOMIC_POSITIONS angstrom
Nb 1.7164 1.4257 0.6312
Nb 1.7164 1.4257 3.6860
Nb 0.5990 3.6114 8.0031
Nb 0.5990 3.6114 4.9483
Hf -0.4783 3.4514 2.1586
Hf 2.7937 1.5857 6.4757
H 0.1433 1.1876 2.1586
H 2.1721 3.8495 6.4757

=====

Record 4
! Cs8CdCl2 (PBE, optimized geometry); values from VASP
! Crystal system: trigonal
! Formation energy from raw total energies: -14.8 kcal/mol of atoms
! Uncorrected energy: -1.68 eV per atom
! Spin magnetization: 0.0 Bohr magnetons per cell
&SYSTEM
  ibrav = 0, nat = 11, ntyp = 3
/
ATOMIC_SPECIES
Cl 35.45 Cl.upf
Cs 132.91 Cs.upf
Cd 112.41 Cd.upf
CELL_PARAMETERS angstrom
7.2413 0.0000 -0.0004
-0.0008 10.5333 -6.0798
0.0002 -0.0018 12.1636
ATOMIC_POSITIONS angstrom
Cl 1.8241 3.5101 6.0826
Cl 5.4166 7.0214 0.0006
Cs 5.3896 3.6085 0.0110
Cs 1.7650 7.0215 0.0007
Cs 5.3901 8.7361 2.9514
Cs 1.8510 6.9230 6.0724
Cs 5.3896 8.7192 -2.9601
Cs 1.8511 1.8124 9.0433
Cs 1.8506 1.7953 3.1318
Cs 5.4756 3.5100 6.0822
Cd 0.0002 -0.0018 12.1636

=====

Record 5
! LaRu2Au (PBE, optimized geometry); values from VASP
! Crystal system: orthorhombic
! Energy of formation: 0.2798 eV/atom
! Uncorrected energy: -6.41 eV per atom
! Spin magnetization: 0.0 Bohr magnetons per cell
&SYSTEM
  ibrav = 0, nat = 4, ntyp = 3
/
ATOMIC_SPECIES
La 138.91 La.upf
Ru 101.07 Ru.upf
Au 196.97 Au.upf
CELL_PARAMETERS angstrom
5.3885 0.0023 -0.0019
1.9029 5.0413 0.0019
-2.8914 -3.6124 2.7617
ATOMIC_POSITIONS angstrom
La 3.0714 -0.5441 1.3799
Ru 3.6721 2.5401 0.0000
Ru 7.2651 5.0254 0.0000
Au 1.3287 1.9754 1.3818

=====

Record 6
! Mg4HgPd7 (PBE, optimized geometry); values from VASP
! Crystal system: monoclinic
! Energy of formation: -0.3229 eV/atom
! Uncorrected energy: -3.91 eV per atom
! Spin magnetization: 0.0 Bohr magnetons per cell
&SYSTEM
  ibrav = 0, nat = 12, ntyp = 3
/
ATOMIC_SPECIES
Mg 24.30 Mg.upf
Pd 106.42 Pd.upf
Hg 200.59 Hg.upf
CELL_PARAMETERS angstrom
-4.6266 -0.9122 -1.7535
0.7844 -6.1985 -6.0624
-2.8978 -4.2684 2.6488
ATOMIC_POSITIONS angstrom
Mg -4.2563 -4.4652 -0.8822
Mg -2.4837 -6.9140 -4.2850
Mg -5.3203 -8.4823 -3.2026
Mg -1.4197 -2.8969 -1.9646
Pd -6.1922 -6.2189 -2.0797
Pd -2.3532 -2.8129 0.4545
Pd -0.5479 -5.1603 -3.0875
Pd -4.3869 -8.5663 -5.6217
Pd -3.3074 -4.4776 -3.3794
Pd -2.3133 -0.4561 -0.8768
Pd -3.4326 -6.9016 -1.7878
Hg 0.0000 0.0000 0.0000